Record 1
First-principles (GGA-PBE) data for Mn3InPd4 after structural relaxation, as listed in Alexandria via LeMat-Bulk.

Lattice parameters (Å, degrees): 4.338 4.338 7.393 107.02 107.06 90.00
Last column: magnetic moment on the atom in μB.
Atoms (fractional coordinates):
Mn 0.249 0.750 0.499  3.91
Pd 0.869 0.869 0.738  0.24
Mn 0.751 0.250 0.501  3.91
Pd 0.131 0.131 0.262  0.24
Pd 0.369 0.369 0.738  0.24
In 0.500 0.000 0.000  -0.05
Mn 0.000 0.500 0.000  3.98
Pd 0.631 0.631 0.262  0.24

**Total magnetic moment**: 1.647 μB/atom
**Energy of formation**: -2.3 eV/f.u.

Record 2
First-principles (GGA-PBE) data for Hf6Tl2Bi after structural relaxation, as listed in Alexandria via LeMat-Bulk.

Lattice parameters (Å, degrees): 4.487 9.614 9.613 90.00 90.00 90.00
Atoms (fractional coordinates):
Hf 0.500 0.159 0.976
Hf 0.000 0.659 0.524
Hf 0.500 0.144 0.644
Hf 0.500 0.476 0.659
Bi 0.500 0.500 0.000
Hf 0.000 0.356 0.144
Hf 0.500 0.856 0.356
Tl 0.500 0.797 0.703
Hf 0.000 0.644 0.856
Tl 0.500 0.203 0.297
Tl 0.000 0.703 0.203
Hf 0.000 0.024 0.159
Hf 0.500 0.524 0.341
Hf 0.000 0.976 0.841
Bi 0.000 0.000 0.500
Hf 0.000 0.341 0.476
Hf 0.500 0.841 0.024
Tl 0.000 0.297 0.797

**Total magnetic moment**: 0.000 μB/atom
**Energy of formation**: 0.2 eV/f.u.

Record 3
First-principles (GGA-PBE) data for TlGa2Cl6 after structural relaxation, as listed in Alexandria via LeMat-Bulk.

Lattice parameters (Å, degrees): 7.880 9.772 9.772 82.34 72.52 72.52
Atoms (fractional coordinates):
Cl 0.404 0.345 0.344
Cl 0.904 0.344 0.345
Cl 0.180 0.815 0.947
Cl 0.679 0.573 0.068
Cl 0.179 0.068 0.573
Cl 0.821 0.932 0.427
Cl 0.320 0.053 0.185
Tl 0.250 0.141 0.859
Cl 0.820 0.185 0.053
Ga 0.199 0.201 0.368
Cl 0.596 0.655 0.656
Ga 0.301 0.632 0.799
Cl 0.321 0.427 0.932
Tl 0.750 0.859 0.141
Cl 0.680 0.947 0.815
Ga 0.801 0.799 0.632
Cl 0.096 0.656 0.655
Ga 0.699 0.368 0.201

**ΔE_f (raw)**: -0.98 eV/atom
**Total magnetic moment**: 0.000 μB/atom

Record 4
First-principles (GGA-PBE) data for Ce3Re2C4 after structural relaxation, as listed in Alexandria via LeMat-Bulk.

Lattice parameters (Å, degrees): 3.179 6.258 7.214 81.93 90.00 104.71
Atoms (fractional coordinates):
Ce 0.000 0.000 0.000
Re 0.260 0.520 0.156
C 0.641 0.282 0.109
Re 0.740 0.480 0.844
C 0.359 0.718 0.891
C 0.172 0.345 0.700
Ce 0.621 0.242 0.480
C 0.828 0.655 0.300
Ce 0.379 0.758 0.520

**Total magnetic moment**: 0.000 μB/atom
**Energy of formation**: -0.7 eV/f.u.

Record 5
First-principles (GGA-PBE) data for MgTa2S after structural relaxation, as listed in Alexandria via LeMat-Bulk.

Lattice parameters (Å, degrees): 3.857 3.857 10.254 79.16 79.16 90.00
Atoms (fractional coordinates):
Ta 0.375 0.373 0.750
S 0.000 0.000 0.000
S 0.750 0.250 0.500
Ta 0.875 0.877 0.750
Mg 0.500 0.500 0.000
Ta 0.627 0.125 0.250
Mg 0.250 0.750 0.500
Ta 0.123 0.625 0.250

**ΔE_f (raw)**: 0.28 eV/atom
**Total magnetic moment**: 0.000 μB/atom
**Offset from the most stable computed form**: 0.0 meV per atom

Record 6
First-principles (GGA-PBE) data for Ta2RhBr after structural relaxation, as listed in Alexandria via LeMat-Bulk.

Lattice parameters (Å, degrees): 3.181 3.181 7.462 90.00 90.00 90.00
Atoms (fractional coordinates):
Ta 0.000 0.000 0.983
Ta 0.500 0.500 0.236
Br 0.000 0.000 0.478
Rh 0.500 0.500 0.803

**ΔE_f (raw)**: 0.02 eV/atom
**Total magnetic moment**: 0.000 μB/atom
**Offset from the most stable computed form**: 0.0 meV per atom

Record 7
First-principles (GGA-PBE) data for SmZnIr4 after structural relaxation, as listed in Alexandria via LeMat-Bulk.

Lattice parameters (Å, degrees): 5.299 5.299 5.299 60.00 60.00 60.00
Atoms (fractional coordinates):
Zn 0.000 0.000 0.000
Ir 0.626 0.626 0.626
Ir 0.123 0.626 0.626
Sm 0.250 0.250 0.250
Ir 0.626 0.626 0.123
Ir 0.626 0.123 0.626

**Total magnetic moment**: 0.000 μB/atom
**Energy of formation**: -1.8 eV/f.u.

Record 8
First-principles (GGA-PBE) data for Pm8Co3RhBr4 after structural relaxation, as listed in Alexandria via LeMat-Bulk.

Lattice parameters (Å, degrees): 8.000 9.036 8.000 116.28 120.00 90.00
Atoms (fractional coordinates):
Pm 0.236 0.693 0.471
Pm 0.730 0.691 0.461
Rh 0.000 0.500 0.000
Co 0.500 0.500 0.000
Pm 0.277 0.306 0.042
Co 0.000 0.500 0.500
Pm 0.764 0.307 0.529
Co 0.500 0.500 0.500
Br 0.000 0.000 0.000
Br 0.500 0.000 0.500
Br 0.500 0.000 0.000
Pm 0.765 0.306 0.042
Br 0.000 0.000 0.500
Pm 0.235 0.694 0.958
Pm 0.270 0.309 0.539
Pm 0.723 0.694 0.958

**ΔE_f (raw)**: -0.82 eV/atom
**Total magnetic moment**: 0.000 μB/atom

Record 9
First-principles (GGA-PBE) data for Dy4TlPbC after structural relaxation, as listed in Alexandria via LeMat-Bulk.

Lattice parameters (Å, degrees): 6.871 6.864 8.630 90.00 113.46 90.00
Atoms (fractional coordinates):
Dy 0.089 0.750 0.178
Dy 0.500 0.000 0.500
C 0.751 0.250 0.502
Dy 0.000 0.500 0.500
Tl 0.112 0.250 0.224
Tl 0.888 0.750 0.776
Dy 0.409 0.750 0.818
Dy 0.911 0.250 0.822
Dy 0.500 0.500 0.500
Dy 0.000 0.000 0.500
Dy 0.591 0.250 0.182
C 0.249 0.750 0.498
Pb 0.610 0.750 0.220
Pb 0.390 0.250 0.780

**Total magnetic moment**: 0.000 μB/atom
**Energy of formation**: -3.0 eV/f.u.

Record 10
First-principles (GGA-PBE) data for LiOs2Pb after structural relaxation, as listed in Alexandria via LeMat-Bulk.

Lattice parameters (Å, degrees): 2.795 2.795 10.129 90.00 90.00 118.17
Atoms (fractional coordinates):
Os 0.000 0.000 0.973
Pb 0.500 0.500 0.250
Os 0.000 0.000 0.527
Li 0.500 0.500 0.750

**Total magnetic moment**: 0.000 μB/atom
**Energy of formation**: 4.0 eV/f.u.

Record 11
First-principles (GGA-PBE) data for Al2Fe4Ge after structural relaxation, as listed in Alexandria via LeMat-Bulk.

Lattice parameters (Å, degrees): 4.924 4.924 4.924 110.44 108.99 108.99
Last column: magnetic moment on the atom in μB.
Atoms (fractional coordinates):
Al 0.500 0.000 0.500  -0.05
Fe 0.000 0.000 0.500  1.47
Ge 0.000 0.000 0.000  -0.09
Fe 0.500 0.500 0.500  1.47
Fe 0.500 0.000 0.000  1.47
Fe 0.000 0.500 0.000  1.47
Al 0.500 0.500 0.000  -0.05

**Total magnetic moment**: 0.800 μB/atom
**Energy of formation**: 0.6 eV/f.u.

Record 12
First-principles (GGA-PBE) data for Ac2Ce2Sn3 after structural relaxation, as listed in Alexandria via LeMat-Bulk.

Lattice parameters (Å, degrees): 4.576 7.779 8.240 98.78 90.03 107.10
Last column: magnetic moment on the atom in μB.
Atoms (fractional coordinates):
Ce 0.372 0.744 0.105  0.65
Sn 0.241 0.482 0.756  -0.02
Ac 0.125 0.248 0.374  0.04
Sn 0.759 0.518 0.244  -0.02
Ce 0.628 0.256 0.895  0.65
Sn 0.000 0.000 0.000  -0.03
Ac 0.875 0.752 0.626  0.04

**Total magnetic moment**: 0.295 μB/atom
**Energy of formation**: -2.5 eV/f.u.